10
Lattice="3.7038 0.0000 0.0000 0.0000 9.0467 0.0000 0.0000 0.0000 7.7967" Properties=species:S:1:pos:R:3 comment="Pm3CBr, optimized geometry, DFT PBE" space_group="Pmmn, No. 59" formation_energy_uncorrected_ev_per_fu=-1.46 rho_kg_m3=6698 total_magnetization_mub_per_fu=0.00 pbc="T T T"
Pm 0.9260 0.6406 1.2371
Pm 0.9260 2.2617 6.0364
Pm 0.9260 3.8828 1.2371
Pm 2.7779 5.1640 6.5596
Pm 2.7779 6.7850 1.7603
Pm 2.7779 8.4061 6.5596
C 0.9260 6.7850 0.1122
C 2.7779 2.2617 7.6844
Br 0.9260 6.7850 4.3634
Br 2.7779 2.2617 3.4332